Here is Li2CrO3 after structural relaxation from Alexandria. Energies are from PBE+U.

Space group   C2/m
Magnetization   8.000 μB per cell
Energy above the most stable polymorph in this dataset   0.08 eV/f.u.

Cell lengths 5.095, 5.133, 8.631 Å; angles 90.00, 90.00, 69.44 degrees
Site moments in Bohr magnetons follow the coordinates.
Fractional positions:
1 Li 0.500 0.500 0.000  0.00
2 Li 0.500 0.500 0.658  0.00
3 Li 0.000 0.500 0.842  0.00
4 Li 0.000 0.500 0.158  0.00
5 Li 0.500 0.000 0.500  0.00
6 Li 0.000 0.000 0.000  0.00
7 Li 0.500 0.500 0.342  0.00
8 Li 0.000 0.500 0.500  0.00
9 O 0.250 0.774 0.819  -0.06
10 O 0.750 0.774 0.319  -0.06
11 O 0.219 0.773 0.500  -0.03
12 O 0.281 0.227 0.000  -0.03
13 O 0.750 0.774 0.681  -0.06
14 O 0.250 0.774 0.181  -0.06
15 O 0.750 0.226 0.819  -0.06
16 O 0.750 0.226 0.181  -0.06
17 O 0.781 0.227 0.500  -0.03
18 O 0.719 0.773 0.000  -0.03
19 O 0.250 0.226 0.681  -0.06
20 O 0.250 0.226 0.319  -0.06
21 Cr 0.000 0.000 0.329  2.15
22 Cr 0.500 0.000 0.829  2.15
23 Cr 0.000 0.000 0.671  2.15
24 Cr 0.500 0.000 0.171  2.15